Density functional theory data (GGA-PBE) for an optimized crystal structure of Th2NpPa3As6.

Cell lengths 18.095, 4.159, 8.290 Å; angles 90.00, 103.22, 90.00 degrees
Space group C2/m (No. 12)
Symmetry-distinct sites (fractional):
Th  0.165  0.000  0.332 (multiplicity 4)
Np  0.000  0.500  0.000 (multiplicity 2)
Pa  0.000  0.500  0.500 (multiplicity 2)
Pa  0.167  0.000  0.835 (multiplicity 4)
As  0.003  0.000  0.750 (multiplicity 4)
As  0.164  0.500  0.591 (multiplicity 4)
As  0.167  0.500  0.076 (multiplicity 4)

Results
Energy relative to the elements = -1.108 eV/atom
D(E_F) = 17.37 states/eV/f.u.
Crystal system = monoclinic
M_tot = 8.65 Bohr magnetons per cell